(1)
Density functional theory data (PBE) for a relaxed structure of AgPIN2.

It has space group P4/mmm (No. 123), with a = 3.678 Å, b = 3.678 Å, c = 7.348 Å, α = 90.00°, β = 90.00° and γ = 90.00°. Symmetry generates all atoms from Ag at (0.000, 0.000, 0.000), P at (0.500, 0.500, 0.500), I at (0.500, 0.500, 0.000) and N at (0.000, 0.500, 0.500).

(2)
Density functional theory data (PBE) for a relaxed structure of AgPIN2.

It has space group P4/mmm (No. 123), with a = 4.036 Å, b = 4.036 Å, c = 7.922 Å, α = 90.00°, β = 90.00° and γ = 90.00°. Symmetry generates all atoms from Ag at (0.000, 0.000, 0.000), P at (0.500, 0.500, 0.500), I at (0.000, 0.000, 0.500) and N at (0.000, 0.500, 0.000).

(3)
Density functional theory data (PBE) for a relaxed structure of AgPbIN2.

It has space group P4/mmm (No. 123), with a = 4.488 Å, b = 4.488 Å, c = 7.104 Å, α = 90.00°, β = 90.00° and γ = 90.00°. Symmetry generates all atoms from Ag at (0.000, 0.000, 0.000), Pb at (0.500, 0.500, 0.500), I at (0.500, 0.500, 0.000) and N at (0.000, 0.500, 0.500).

no.,final energy (eV for the cell shown),formation energy from raw total energies (eV/atom)
1,-20.97,1.0979
2,-16.45,2.0030
3,-17.25,1.5018